No. 1
The following is a GGA-PBE calculation of a relaxed structure of Tb12Cd5Pd3, from Alexandria via LeMat-Bulk.

POSCAR file:
```
Tb12Cd5Pd3
1.0
-8.666 8.666 8.666
8.666 -8.666 8.666
8.666 8.666 -8.666
Tb Cd Pd
48 20 12
direct
0.062 0.632 0.398 Tb
0.062 0.930 0.664 Tb
0.070 0.234 0.132 Tb
0.070 0.336 0.938 Tb
0.102 0.734 0.664 Tb
0.102 0.868 0.438 Tb
0.132 0.070 0.234 Tb
0.132 0.562 0.898 Tb
0.164 0.234 0.602 Tb
0.164 0.430 0.562 Tb
0.234 0.132 0.070 Tb
0.234 0.602 0.164 Tb
0.266 0.336 0.898 Tb
0.266 0.430 0.368 Tb
0.336 0.898 0.266 Tb
0.336 0.938 0.070 Tb
0.368 0.266 0.430 Tb
0.368 0.602 0.938 Tb
0.398 0.062 0.632 Tb
0.398 0.836 0.766 Tb
0.430 0.368 0.266 Tb
0.430 0.562 0.164 Tb
0.438 0.102 0.868 Tb
0.438 0.836 0.570 Tb
0.562 0.164 0.430 Tb
0.562 0.898 0.132 Tb
0.570 0.438 0.836 Tb
0.570 0.632 0.734 Tb
0.602 0.164 0.234 Tb
0.602 0.938 0.368 Tb
0.632 0.398 0.062 Tb
0.632 0.734 0.570 Tb
0.664 0.062 0.930 Tb
0.664 0.102 0.734 Tb
0.734 0.570 0.632 Tb
0.734 0.664 0.102 Tb
0.766 0.398 0.836 Tb
0.766 0.868 0.930 Tb
0.836 0.570 0.438 Tb
0.836 0.766 0.398 Tb
0.868 0.438 0.102 Tb
0.868 0.930 0.766 Tb
0.898 0.132 0.562 Tb
0.898 0.266 0.336 Tb
0.930 0.664 0.062 Tb
0.930 0.766 0.868 Tb
0.938 0.070 0.336 Tb
0.938 0.368 0.602 Tb
0.000 0.000 0.000 Cd
0.000 0.000 0.500 Cd
0.000 0.500 0.000 Cd
0.000 0.500 0.500 Cd
0.125 0.750 0.875 Cd
0.125 0.875 0.250 Cd
0.250 0.125 0.875 Cd
0.250 0.625 0.375 Cd
0.375 0.250 0.625 Cd
0.375 0.625 0.750 Cd
0.500 0.000 0.000 Cd
0.500 0.000 0.500 Cd
0.500 0.500 0.000 Cd
0.500 0.500 0.500 Cd
0.625 0.375 0.250 Cd
0.625 0.750 0.375 Cd
0.750 0.375 0.625 Cd
0.750 0.875 0.125 Cd
0.875 0.125 0.750 Cd
0.875 0.250 0.125 Cd
0.125 0.250 0.375 Pd
0.125 0.375 0.750 Pd
0.250 0.375 0.125 Pd
0.250 0.875 0.625 Pd
0.375 0.125 0.250 Pd
0.375 0.750 0.125 Pd
0.625 0.250 0.875 Pd
0.625 0.875 0.750 Pd
0.750 0.125 0.375 Pd
0.750 0.625 0.875 Pd
0.875 0.625 0.250 Pd
0.875 0.750 0.625 Pd
```

Calculated values
E_tot: -3.654 eV/atom
calculated volume: 32.54 Å³ per atom

***

No. 2
The following is a GGA-PBE calculation of a relaxed structure of TbCd5Pd, from Alexandria via LeMat-Bulk.

POSCAR file:
```
TbCd5Pd
1.0
4.730 0.000 0.000
0.000 4.730 0.000
0.000 0.000 7.270
Tb Cd Pd
1 5 1
direct
0.000 0.000 0.000 Tb
0.000 0.500 0.294 Cd
0.000 0.500 0.706 Cd
0.500 0.000 0.294 Cd
0.500 0.000 0.706 Cd
0.500 0.500 0.000 Cd
0.000 0.000 0.500 Pd
```

Calculated values
E_tot: -2.349 eV/atom
calculated volume: 23.24 Å³ per atom

***

No. 3
The following is a GGA-PBE calculation of a relaxed structure of TbCd2Pd5, from Alexandria via LeMat-Bulk.

POSCAR file:
```
TbCd2Pd5
1.0
-3.636 3.636 5.535
3.636 -3.636 5.535
3.636 3.636 -5.535
Tb Cd Pd
2 4 10
direct
0.250 0.250 0.000 Tb
0.750 0.750 0.000 Tb
0.153 0.653 0.807 Cd
0.347 0.153 0.500 Cd
0.653 0.847 0.500 Cd
0.847 0.347 0.193 Cd
0.000 0.000 0.000 Pd
0.024 0.809 0.500 Pd
0.191 0.691 0.215 Pd
0.309 0.524 0.500 Pd
0.476 0.976 0.785 Pd
0.500 0.500 0.000 Pd
0.524 0.024 0.215 Pd
0.691 0.476 0.500 Pd
0.809 0.309 0.785 Pd
0.976 0.191 0.500 Pd
```

Calculated values
polymorph energy (0 for the lowest one): 0.109 eV/atom
calculated volume: 18.29 Å³ per atom

***

No. 4
The following is a GGA-PBE calculation of a relaxed structure of Tb2CdPd6, from Alexandria via LeMat-Bulk.

POSCAR file:
```
Tb2CdPd6
1.0
6.345 -4.145 0.000
6.345 4.145 0.000
-1.129 0.000 3.617
Tb Cd Pd
2 1 6
direct
0.161 0.161 0.163 Tb
0.839 0.839 0.837 Tb
0.500 0.500 0.500 Cd
0.094 0.576 0.335 Pd
0.251 0.749 0.000 Pd
0.424 0.906 0.665 Pd
0.576 0.094 0.335 Pd
0.749 0.251 0.000 Pd
0.906 0.424 0.665 Pd
```

Calculated values
E_tot: -5.050 eV/atom
calculated volume: 21.14 Å³ per atom

***

No. 5
The following is a GGA-PBE calculation of a relaxed structure of Tb2CdPd3, from Alexandria via LeMat-Bulk.

POSCAR file:
```
Tb2CdPd3
1.0
6.291 -3.846 0.000
6.291 3.846 0.000
0.000 0.000 5.652
Tb Cd Pd
4 2 6
direct
0.010 0.659 0.750 Tb
0.341 0.990 0.750 Tb
0.659 0.010 0.250 Tb
0.990 0.341 0.250 Tb
0.317 0.683 0.250 Cd
0.683 0.317 0.750 Cd
0.000 0.000 0.000 Pd
0.000 0.000 0.500 Pd
0.337 0.337 0.000 Pd
0.337 0.337 0.500 Pd
0.663 0.663 0.000 Pd
0.663 0.663 0.500 Pd
```

Calculated values
polymorph energy (0 for the lowest one): 0.113 eV/atom
calculated volume: 22.79 Å³ per atom

***

No. 6
The following is a GGA-PBE calculation of a relaxed structure of Tb3Cd2Pd3, from Alexandria via LeMat-Bulk.

POSCAR file:
```
Tb3Cd2Pd3
1.0
8.467 0.000 0.000
-4.233 7.332 0.000
0.000 0.000 5.791
Tb Cd Pd
6 4 6
direct
0.000 0.271 0.250 Tb
0.000 0.729 0.750 Tb
0.271 0.000 0.250 Tb
0.271 0.271 0.750 Tb
0.729 0.000 0.750 Tb
0.729 0.729 0.250 Tb
0.333 0.667 0.000 Cd
0.333 0.667 0.500 Cd
0.667 0.333 0.000 Cd
0.667 0.333 0.500 Cd
0.000 0.387 0.750 Pd
0.000 0.613 0.250 Pd
0.387 0.000 0.750 Pd
0.387 0.387 0.250 Pd
0.613 0.000 0.250 Pd
0.613 0.613 0.750 Pd
```

Calculated values
E_tot: -4.594 eV/atom
calculated volume: 22.47 Å³ per atom

***

Repeat the fourth record exactly.
The following is a GGA-PBE calculation of a relaxed structure of Tb2CdPd6, from Alexandria via LeMat-Bulk.

POSCAR file:
```
Tb2CdPd6
1.0
6.345 -4.145 0.000
6.345 4.145 0.000
-1.129 0.000 3.617
Tb Cd Pd
2 1 6
direct
0.161 0.161 0.163 Tb
0.839 0.839 0.837 Tb
0.500 0.500 0.500 Cd
0.094 0.576 0.335 Pd
0.251 0.749 0.000 Pd
0.424 0.906 0.665 Pd
0.576 0.094 0.335 Pd
0.749 0.251 0.000 Pd
0.906 0.424 0.665 Pd
```

Calculated values
E_tot: -5.050 eV/atom
calculated volume: 21.14 Å³ per atom

***

- What is the formula in the third record?
  TbCd2Pd5

***

- What is the formula in the sixth record?
  Tb3Cd2Pd3